1.
A relaxed K3UI6Br2 crystal. Source: Alexandria, functional GGA-PBE.

The structure in POSCAR format:
```
K3UI6Br2
1.0
7.427 0.000 -0.521
0.000 9.667 0.000
-1.784 -4.834 8.952
I K U Br
6 3 1 2
Direct
0.742 0.896 0.792
0.258 0.104 0.208
0.264 0.125 0.819
0.736 0.875 0.181
0.736 0.306 0.181
0.264 0.694 0.819
0.500 0.000 0.500
0.500 0.500 0.500
0.000 0.500 0.000
0.500 0.000 0.000
0.265 0.665 0.329
0.735 0.335 0.671
```

Spin magnetization = 1.0 μB per cell
Calculated total energy = -3.43 eV per atom
Calculated volume = 633.7 Å³/cell
Mass density = 3345 kg/m³
Energy relative to the elements, uncorrected = -13.9 eV per formula unit
Space-group type = C2/m, No. 12

=====

2.
A relaxed Pr3Dy7 crystal. Source: Alexandria, functional GGA-PBE.

The structure in POSCAR format:
```
Pr3Dy7
1.0
4.863 0.000 -1.492
-0.976 6.359 -3.181
0.627 -0.561 10.715
Pr Dy
3 7
Direct
0.000 0.000 0.000
0.199 0.797 0.398
0.801 0.203 0.602
0.599 0.899 0.198
0.000 0.500 0.000
0.400 0.601 0.800
0.600 0.399 0.200
0.401 0.101 0.802
0.200 0.300 0.400
0.800 0.700 0.600
```

Spin magnetization = 0.0 μB per cell
Calculated total energy = -4.64 eV per atom
Formation energy = 19 kJ/mol of formula units
Calculated volume = 327.8 Å³/cell
DOS at the Fermi energy = 13.95 states/eV per cell
Mass density = 7903 kg/m³
Space-group type = C2/m, No. 12

=====

3.
A relaxed Tb3DyHo2Er6 crystal. Source: Alexandria, functional GGA-PBE.

The structure in POSCAR format:
```
Tb3DyHo2Er6
1.0
6.090 0.002 0.007
-3.042 5.276 0.007
-1.024 -1.773 11.463
Ho Er Tb Dy
2 6 3 1
Direct
0.333 0.667 0.000
0.667 0.333 0.000
0.250 0.250 0.751
0.083 0.416 0.249
0.584 0.917 0.751
0.416 0.083 0.249
0.750 0.750 0.249
0.917 0.584 0.751
0.833 0.167 0.500
0.167 0.833 0.500
0.500 0.500 0.500
0.000 0.000 0.000
```

Spin magnetization = 0.0 μB per cell
Calculated total energy = -4.57 eV per atom
Formation energy = 22 kJ/mol of formula units
Calculated volume = 368.5 Å³/cell
DOS at the Fermi energy = 15.99 states/eV per cell
Mass density = 8890 kg/m³
Space-group type = C2/m, No. 12

=====

4.
A relaxed Pr3GaNi2 crystal. Source: Alexandria, functional GGA-PBE.

The structure in POSCAR format:
```
Pr3GaNi2
1.0
6.831 -0.302 -0.235
1.922 6.562 -0.235
1.922 1.375 6.420
Pr Ni Ga
6 4 2
Direct
0.750 0.432 0.068
0.568 0.932 0.250
0.932 0.250 0.568
0.068 0.750 0.432
0.432 0.068 0.750
0.250 0.568 0.932
0.334 0.334 0.334
0.666 0.666 0.666
0.166 0.166 0.166
0.834 0.834 0.834
0.000 0.000 0.000
0.500 0.500 0.500
```

Spin magnetization = 0.0 μB per cell
Calculated total energy = -5.10 eV per atom
Formation energy = -161 kJ/mol of formula units
Calculated volume = 296.2 Å³/cell
DOS at the Fermi energy = 13.31 states/eV per cell
Mass density = 6838 kg/m³
Space-group type = R-3c, No. 167

=====

Question: Which value of mass density does entry 4 give?
Answer: 6838 kg/m³

=====

Question: Which formula does entry 3 have?
Answer: Tb3DyHo2Er6